A plane-wave DFT calculation with PBE-GGA was carried out for a relaxed structure of UCo2As2Ru.

Output
SG = Pmc2_1 (26)
VASP energy = -7.697 eV per atom

a b c (Å): 3.863 7.528 6.363
angles (deg): 90.00 90.00 90.00
Fractional positions:
1 U 0.000 0.019 0.348
2 U 0.000 0.519 0.652
3 Co 0.500 0.957 0.074
4 Co 0.000 0.406 0.202
5 Co 0.500 0.457 0.926
6 Co 0.000 0.906 0.798
7 As 0.000 0.201 0.935
8 As 0.500 0.318 0.375
9 As 0.000 0.701 0.065
10 As 0.500 0.818 0.625
11 Ru 0.500 0.146 0.705
12 Ru 0.500 0.646 0.295


A plane-wave DFT calculation with PBE-GGA was carried out for a relaxed structure of CaMnPb2.

Output
SG = C2/m (12)
VASP energy = -4.660 eV per atom

a b c (Å): 4.822 4.822 6.091
angles (deg): 70.06 70.06 55.17
Fractional positions:
1 Pb 0.981 0.981 0.060
2 Pb 0.519 0.519 0.440
3 Ca 0.750 0.750 0.750
4 Mn 0.250 0.250 0.250


A plane-wave DFT calculation with PBE-GGA was carried out for a relaxed structure of TbCeAs.

Output
SG = I4mm (107)
VASP energy = -5.759 eV per atom

a b c (Å): 3.772 3.772 6.096
angles (deg): 108.02 108.02 90.00
Fractional positions:
1 As 0.608 0.608 0.216
2 Tb 0.981 0.981 0.962
3 Ce 0.261 0.261 0.522


A plane-wave DFT calculation with PBE-GGA was carried out for a relaxed structure of K2SrTa.

Output
SG = Cmmm (65)
VASP energy = -2.682 eV per atom

a b c (Å): 7.544 7.544 3.453
angles (deg): 90.00 90.00 125.23
Fractional positions:
1 K 0.000 0.000 0.000
2 K 0.500 0.500 0.000
3 Sr 0.500 0.000 0.500
4 Ta 0.000 0.500 0.500


A plane-wave DFT calculation with PBE-GGA was carried out for a relaxed structure of PmAl4Cu8.

Output
SG = I4/mmm (139)
VASP energy = -4.271 eV per atom

a b c (Å): 5.070 6.609 6.609
angles (deg): 81.54 67.44 67.44
Fractional positions:
1 Pm 0.000 0.000 0.000
2 Al 0.000 0.000 0.500
3 Al 0.500 0.000 0.500
4 Al 0.000 0.500 0.000
5 Al 0.500 0.500 0.000
6 Cu 0.000 0.353 0.647
7 Cu 0.000 0.647 0.353
8 Cu 0.353 0.647 0.647
9 Cu 0.647 0.353 0.353
10 Cu 0.500 0.778 0.222
11 Cu 0.500 0.222 0.778
12 Cu 0.278 0.222 0.222
13 Cu 0.722 0.778 0.778


A plane-wave DFT calculation with PBE-GGA was carried out for a relaxed structure of HgPb2.

Output
SG = Fd-3m (227)
VASP energy = -2.411 eV per atom

a b c (Å): 6.513 6.513 6.513
angles (deg): 60.00 60.00 60.00
Fractional positions:
1 Hg 0.500 0.500 0.500
2 Hg 0.750 0.750 0.750
3 Pb 0.625 0.125 0.125
4 Pb 0.125 0.625 0.125
5 Pb 0.125 0.125 0.625
6 Pb 0.125 0.125 0.125


A plane-wave DFT calculation with PBE-GGA was carried out for a relaxed structure of Ba2Mg4TlHg3.

Output
SG = P-4m2 (115)
VASP energy = -1.657 eV per atom

a b c (Å): 4.982 4.982 11.855
angles (deg): 90.00 90.00 90.00
Fractional positions:
1 Ba 0.500 0.000 0.253
2 Ba 0.000 0.500 0.747
3 Mg 0.500 0.500 0.000
4 Mg 0.000 0.000 0.000
5 Mg 0.500 0.000 0.630
6 Mg 0.000 0.500 0.370
7 Tl 0.500 0.500 0.500
8 Hg 0.000 0.000 0.500
9 Hg 0.500 0.000 0.870
10 Hg 0.000 0.500 0.130


Question: Which of these has the lowest VASP energy?
Answer: UCo2As2Ru